Record 1
First-principles (PBE) data for a relaxed structure of Ta2PW, as listed in Alexandria via LeMat-Bulk.

abc: 5.9560 5.9560 5.9560
angles: 99.76 99.76 131.38
With the nearest neighbours (Å) after each atom.
Fractional positions:
Ta: 0.0408 0.6250 0.9158  2 P 2.38
Ta: 0.3750 0.2908 0.4158  2 P 2.38
Ta: 0.7092 0.1250 0.0842  2 P 2.38
Ta: 0.8750 0.9592 0.5842  2 P 2.38
P: 0.0000 0.0000 0.0000  4 Ta 2.38, 2 W 2.45
P: 0.7500 0.2500 0.5000  4 Ta 2.38, 2 W 2.45
W: 0.2500 0.7500 0.5000  2 P 2.45
W: 0.5000 0.5000 0.0000  2 P 2.45

## Properties
Calculated density in g cm⁻³: 13.26
VASP energy in eV per atom: -10.168
Symmetry: I-42d (122)
Total moment in μB/cell: 0.00
Calculated formation energy in meV per atom: 349

Record 2
First-principles (PBE) data for a relaxed structure of Ta2PW, as listed in Alexandria via LeMat-Bulk.

abc: 3.3466 3.3466 5.7861
angles: 90.00 90.00 90.00
With the nearest neighbours (Å) after each atom.
Fractional positions:
Ta: 0.0000 0.0000 0.0000  1 W 2.68, 4 P 2.70, 4 Ta 2.87
Ta: 0.5000 0.5000 0.2815  4 W 2.79, 2 P 2.86-2.93, 4 Ta 2.87
P: 0.5000 0.5000 0.7755  6 Ta 2.70-2.93, 4 W 2.74
W: 0.0000 0.0000 0.5368  5 Ta 2.68-2.79, 4 P 2.74

## Properties
Calculated density in g cm⁻³: 14.78
VASP energy in eV per atom: -10.609
Symmetry: P4mm (99)
Total moment in μB/cell: 0.00
Calculated formation energy in meV per atom: -92

Record 3
First-principles (PBE) data for a relaxed structure of Ta2PW, as listed in Alexandria via LeMat-Bulk.

abc: 4.9646 4.9646 4.7874
angles: 117.17 117.17 39.52
With the nearest neighbours (Å) after each atom.
Fractional positions:
Ta: 0.2329 0.2329 0.2318  2 P 2.54, 2 W 2.75
Ta: 0.7671 0.7671 0.7682  2 P 2.54, 2 W 2.75
P: 0.5000 0.5000 0.0000  4 Ta 2.54
W: 0.0000 0.0000 0.5000  6 Ta 2.75-3.02, 4 P 2.92

## Properties
Calculated density in g cm⁻³: 14.59
VASP energy in eV per atom: -10.584
Symmetry: C2/m (12)
Total moment in μB/cell: 0.00
Calculated formation energy in meV per atom: -67

Record 4
First-principles (PBE) data for a relaxed structure of TaPW2, as listed in Alexandria via LeMat-Bulk.

abc: 4.8915 4.8915 4.9991
angles: 120.53 120.53 39.57
With the nearest neighbours (Å) after each atom.
Fractional positions:
Ta: 0.0000 0.0000 0.0000  3 P 2.51-2.73, 2 W 2.80
P: 0.7171 0.7171 0.0457  4 W 2.45-2.48, 3 Ta 2.51-2.73
W: 0.2102 0.2102 0.6767  2 P 2.45
W: 0.4271 0.4271 0.4281  2 P 2.48, 2 W 2.75

## Properties
Calculated density in g cm⁻³: 15.01
VASP energy in eV per atom: -10.907
Symmetry: Cm (8)
Total moment in μB/cell: 0.00
Calculated formation energy in meV per atom: -115

Record 5
First-principles (PBE) data for a relaxed structure of Ta4PW, as listed in Alexandria via LeMat-Bulk.

abc: 5.3532 5.3532 5.3532
angles: 60.00 60.00 60.00
With the nearest neighbours (Å) after each atom.
Fractional positions:
Ta: 0.1248 0.1248 0.1248  6 Ta 2.67-2.68
Ta: 0.1248 0.1248 0.6256  6 Ta 2.67-2.68
Ta: 0.1248 0.6256 0.1248  6 Ta 2.67-2.68
Ta: 0.6256 0.1248 0.1248  6 Ta 2.67-2.68
P: 0.5000 0.5000 0.5000  12 Ta 3.14, 4 W 3.28
W: 0.7500 0.7500 0.7500  12 Ta 3.14, 4 P 3.28

## Properties
Calculated density in g cm⁻³: 14.37
VASP energy in eV per atom: -10.310
Symmetry: F-43m (216)
Total moment in μB/cell: 0.00
Calculated formation energy in meV per atom: 652

Record 6
First-principles (PBE) data for a relaxed structure of TaPW3, as listed in Alexandria via LeMat-Bulk.

abc: 4.4447 4.4447 4.4447
angles: 90.00 90.00 90.00
With the nearest neighbours (Å) after each atom.
Fractional positions:
Ta: 0.0000 0.0000 0.0000  12 W 3.14
P: 0.5000 0.5000 0.5000  6 W 2.22
W: 0.0000 0.5000 0.5000  2 P 2.22
W: 0.5000 0.0000 0.5000  2 P 2.22
W: 0.5000 0.5000 0.0000  2 P 2.22

## Properties
Calculated density in g cm⁻³: 14.44
VASP energy in eV per atom: -10.497
Symmetry: Pm-3m (221)
Energy relative to the lowest polymorph listed for this composition in meV/atom: 0.0
Total moment in μB/cell: 0.00
Calculated formation energy in meV per atom: 727

Record 7
First-principles (PBE) data for a relaxed structure of Ta2PW, as listed in Alexandria via LeMat-Bulk.

abc: 2.8960 2.8960 8.2144
angles: 90.00 90.00 109.15
With the nearest neighbours (Å) after each atom.
Fractional positions:
Ta: 0.0000 0.0000 0.2286  2 P 2.52, 2 W 2.79
Ta: 0.0000 0.0000 0.7714  2 P 2.52, 2 W 2.79
P: 0.5000 0.5000 0.0000  4 Ta 2.52
W: 0.5000 0.5000 0.5000  4 Ta 2.79, 4 W 2.90

## Properties
Calculated density in g cm⁻³: 14.71
VASP energy in eV per atom: -10.748
Symmetry: Cmmm (65)
Total moment in μB/cell: 0.00
Calculated formation energy in meV per atom: -231

Record 8
First-principles (PBE) data for a relaxed structure of Ta2PW, as listed in Alexandria via LeMat-Bulk.

abc: 2.9098 2.9098 7.7262
angles: 90.00 90.00 90.00
With the nearest neighbours (Å) after each atom.
Fractional positions:
Ta: 0.0000 0.0000 0.2056  4 P 2.60, 4 Ta 2.91
Ta: 0.0000 0.0000 0.7944  4 P 2.60, 4 Ta 2.91
P: 0.5000 0.5000 0.0000  8 Ta 2.60, 4 P 2.91
W: 0.5000 0.5000 0.5000  4 W 2.91, 8 Ta 3.07

## Properties
Calculated density in g cm⁻³: 14.64
VASP energy in eV per atom: -10.486
Symmetry: P4/mmm (123)
Total moment in μB/cell: 0.00
Calculated formation energy in meV per atom: 32

Record 9
First-principles (PBE) data for a relaxed structure of Ta2PW, as listed in Alexandria via LeMat-Bulk.

abc: 2.9101 2.9101 8.1840
angles: 90.00 90.00 109.41
With the nearest neighbours (Å) after each atom.
Fractional positions:
Ta: 0.0000 0.0000 0.0000  2 P 2.49
Ta: 0.5000 0.5000 0.2824  2 W 2.79, 6 Ta 2.86-2.91
P: 0.5000 0.5000 0.7750  2 W 2.47, 2 Ta 2.49
W: 0.0000 0.0000 0.5537  2 P 2.47

## Properties
Calculated density in g cm⁻³: 14.65
VASP energy in eV per atom: -10.646
Symmetry: Cmm2 (35)
Total moment in μB/cell: 0.00
Calculated formation energy in meV per atom: -129

Record 10
First-principles (PBE) data for a relaxed structure of TaPW2, as listed in Alexandria via LeMat-Bulk.

abc: 2.8892 2.8892 7.5590
angles: 90.00 90.00 90.00
With the nearest neighbours (Å) after each atom.
Fractional positions:
Ta: 0.0000 0.0000 0.0000  4 P 2.71, 4 Ta 2.89
P: 0.5000 0.5000 0.7647  4 W 2.47, 4 Ta 2.71
W: 0.0000 0.0000 0.5800  4 P 2.47
W: 0.5000 0.5000 0.2975  8 W 2.89-2.95, 4 Ta 3.04

## Properties
Calculated density in g cm⁻³: 15.25
VASP energy in eV per atom: -10.698
Symmetry: P4mm (99)
Total moment in μB/cell: 0.00
Calculated formation energy in meV per atom: 95

Record 11
First-principles (PBE) data for a relaxed structure of TaPW2, as listed in Alexandria via LeMat-Bulk.

abc: 5.3152 5.3152 5.3152
angles: 139.34 139.34 58.86
With the nearest neighbours (Å) after each atom.
Fractional positions:
Ta: 0.0000 0.0000 0.0000  4 P 2.61
P: 0.5000 0.5000 0.0000  4 Ta 2.61
W: 0.2500 0.7500 0.5000  4 W 2.61
W: 0.7500 0.2500 0.5000  4 W 2.61

## Properties
Calculated density in g cm⁻³: 15.24
VASP energy in eV per atom: -10.668
Symmetry: I4/mmm (139)
Total moment in μB/cell: 0.00
Calculated formation energy in meV per atom: 124

Record 12
First-principles (PBE) data for a relaxed structure of TaPW2, as listed in Alexandria via LeMat-Bulk.

abc: 4.8128 4.8128 4.7145
angles: 111.56 111.56 38.83
With the nearest neighbours (Å) after each atom.
Fractional positions:
Ta: 0.0000 0.0000 0.0000  6 W 2.82-2.84, 4 P 2.85
P: 0.5000 0.5000 0.5000  4 W 2.48
W: 0.2250 0.2250 0.7173  2 P 2.48, 2 W 2.77
W: 0.7750 0.7750 0.2827  2 P 2.48, 2 W 2.77

## Properties
Calculated density in g cm⁻³: 15.26
VASP energy in eV per atom: -10.772
Symmetry: C2/m (12)
Total moment in μB/cell: 0.00
Calculated formation energy in meV per atom: 20

Record 13
First-principles (PBE) data for a relaxed structure of Ta2PW, as listed in Alexandria via LeMat-Bulk.

abc: 4.8108 4.8108 4.8108
angles: 129.22 129.22 74.66
With the nearest neighbours (Å) after each atom.
Fractional positions:
Ta: 0.2500 0.7500 0.5000  4 W 2.81, 4 P 2.81, 4 Ta 2.92
Ta: 0.7500 0.2500 0.5000  4 W 2.81, 4 P 2.81, 4 Ta 2.92
P: 0.0000 0.0000 0.0000  8 Ta 2.81, 4 W 2.92
W: 0.5000 0.5000 0.0000  8 Ta 2.81, 4 P 2.92

## Properties
Calculated density in g cm⁻³: 14.71
VASP energy in eV per atom: -10.428
Symmetry: I4/mmm (139)
Total moment in μB/cell: 0.00
Calculated formation energy in meV per atom: 89

Record 14
First-principles (PBE) data for a relaxed structure of TaPW2, as listed in Alexandria via LeMat-Bulk.

abc: 2.8195 4.5296 5.1790
angles: 90.00 105.43 90.00
With the nearest neighbours (Å) after each atom.
Fractional positions:
Ta: 0.0000 0.0000 0.0000  2 P 2.60, 4 W 2.80, 2 Ta 2.82
P: 0.5000 0.0000 0.5000  2 Ta 2.60, 4 W 2.78, 2 P 2.82
W: 0.2486 0.5000 0.7458  4 W 2.56-2.82, 2 P 2.78, 2 Ta 2.80
W: 0.7514 0.5000 0.2542  4 W 2.56-2.82, 2 P 2.78, 2 Ta 2.80

## Properties
Calculated density in g cm⁻³: 15.09
VASP energy in eV per atom: -10.594
Symmetry: P2/m (10)
Total moment in μB/cell: 0.00
Calculated formation energy in meV per atom: 198

Record 15
First-principles (PBE) data for a relaxed structure of Y2TaP2, as listed in Alexandria via LeMat-Bulk.

abc: 6.9863 6.9863 4.0156
angles: 90.00 90.00 90.00
With the nearest neighbours (Å) after each atom.
Fractional positions:
Y: 0.1664 0.3336 0.0000  6 P 2.74-2.97
Y: 0.3336 0.8336 0.0000  6 P 2.74-2.97
Y: 0.6664 0.1664 0.0000  6 P 2.74-2.97
Y: 0.8336 0.6664 0.0000  6 P 2.74-2.97
Ta: 0.0000 0.0000 0.5000  4 P 2.68
Ta: 0.5000 0.5000 0.5000  4 P 2.68
P: 0.1455 0.6455 0.5000  2 Ta 2.68, 6 Y 2.74-2.97, 1 P 2.88
P: 0.3545 0.1455 0.5000  2 Ta 2.68, 6 Y 2.74-2.97, 1 P 2.88
P: 0.6455 0.8545 0.5000  2 Ta 2.68, 6 Y 2.74-2.97, 1 P 2.88
P: 0.8545 0.3545 0.5000  2 Ta 2.68, 6 Y 2.74-2.97, 1 P 2.88

## Properties
Calculated density in g cm⁻³: 7.13
VASP energy in eV per atom: -8.088
Symmetry: P4/mbm (127)
Total moment in μB/cell: 0.00
Calculated formation energy in meV per atom: -968